BaCrS2O8 | GGA+U | relaxed

a = 5.0027 Å, b = 5.0027 Å, c = 22.7363 Å
α = 90.00°, β = 90.00°, γ = 120.00°
Space group R-3 (No. 148, hexagonal axes)
Symmetry-distinct sites (fractional):
Ba 0.0000 0.0000 0.0000 x3
Cr 0.0000 0.0000 0.5000 x3
S 0.0000 0.0000 0.2447 x6
O 0.0000 0.0000 0.3107 x6
O 0.0133 0.2902 0.2247 x18

Properties
- E_tot (eV per atom) = -6.59
- D(E_F) (states/eV/atom) = 0.560
- total magnetic moment (μB per cell) = 12.000